[1]
Compound: K2LiB2
Source: Alexandria via LeMat-Bulk
Functional: GGA-PBE
Structure: relaxed

**Energy above the lowest structure with this stoichiometry**: 0 meV/atom
**ΔE_f**: 1049 meV/atom
**Total magnetic moment**: 0.00 μB per cell

a = 8.879 Å, b = 8.879 Å, c = 3.268 Å
α = 90.00°, β = 90.00°, γ = 90.00°
Positions (direct):
1 K 0.206 0.294 0.000
2 K 0.294 0.794 0.000
3 K 0.706 0.206 0.000
4 K 0.794 0.706 0.000
5 Li 0.000 0.000 0.000
6 Li 0.500 0.500 0.000
7 B 0.064 0.564 0.500
8 B 0.436 0.064 0.500
9 B 0.564 0.936 0.500
10 B 0.936 0.436 0.500


[2]
Compound: K3LiB
Source: Alexandria via LeMat-Bulk
Functional: GGA-PBE
Structure: relaxed

**Energy above the lowest structure with this stoichiometry**: 0 meV/atom
**ΔE_f**: 824 meV/atom
**Total magnetic moment**: 2.65 μB per cell

a = 6.206 Å, b = 6.206 Å, c = 6.206 Å
α = 90.00°, β = 90.00°, γ = 90.00°
Positions (direct):
1 K 0.000 0.000 0.500
2 K 0.000 0.500 0.000
3 K 0.500 0.000 0.000
4 Li 0.500 0.500 0.500
5 B 0.000 0.000 0.000


[3]
Compound: K2LiB2
Source: Alexandria via LeMat-Bulk
Functional: GGA-PBE
Structure: relaxed

**Energy above the lowest structure with this stoichiometry**: 14 meV/atom
**ΔE_f**: 1063 meV/atom
**Total magnetic moment**: 0.00 μB per cell

a = 2.975 Å, b = 2.975 Å, c = 23.780 Å
α = 90.00°, β = 90.00°, γ = 90.00°
Positions (direct):
1 K 0.000 0.000 0.138
2 K 0.000 0.000 0.862
3 K 0.500 0.500 0.362
4 K 0.500 0.500 0.638
5 Li 0.000 0.000 0.500
6 Li 0.500 0.500 0.000
7 B 0.000 0.500 0.250
8 B 0.000 0.500 0.750
9 B 0.500 0.000 0.250
10 B 0.500 0.000 0.750


[4]
Compound: KLiB3
Source: Alexandria via LeMat-Bulk
Functional: GGA-PBE
Structure: relaxed

**Energy above the lowest structure with this stoichiometry**: 0 meV/atom
**ΔE_f**: 1969 meV/atom
**Total magnetic moment**: 0.00 μB per cell

a = 4.213 Å, b = 4.213 Å, c = 4.213 Å
α = 90.00°, β = 90.00°, γ = 90.00°
Positions (direct):
1 K 0.000 0.000 0.000
2 Li 0.500 0.500 0.500
3 B 0.000 0.500 0.500
4 B 0.500 0.000 0.500
5 B 0.500 0.500 0.000


[5]
Compound: KLiB3
Source: Alexandria via LeMat-Bulk
Functional: GGA-PBE
Structure: relaxed

**Energy above the lowest structure with this stoichiometry**: 1047 meV/atom
**ΔE_f**: 3016 meV/atom
**Total magnetic moment**: 0.00 μB per cell

a = 5.067 Å, b = 5.067 Å, c = 5.067 Å
α = 90.00°, β = 90.00°, γ = 90.00°
Positions (direct):
1 K 0.000 0.000 0.000
2 Li 0.500 0.500 0.500
3 B 0.000 0.000 0.500
4 B 0.000 0.500 0.000
5 B 0.500 0.000 0.000


[6]
Compound: KLi2B
Source: Alexandria via LeMat-Bulk
Functional: GGA-PBE
Structure: relaxed

**ΔE_f**: 760 meV/atom
**Total magnetic moment**: 7.72 μB per cell

a = 5.699 Å, b = 5.699 Å, c = 13.433 Å
α = 90.00°, β = 90.00°, γ = 90.00°
Positions (direct):
1 K 0.000 0.250 0.375
2 K 0.000 0.750 0.625
3 K 0.500 0.250 0.125
4 K 0.500 0.750 0.875
5 Li 0.000 0.000 0.000
6 Li 0.000 0.500 0.000
7 Li 0.250 0.250 0.750
8 Li 0.250 0.750 0.250
9 Li 0.500 0.000 0.500
10 Li 0.500 0.500 0.500
11 Li 0.750 0.250 0.750
12 Li 0.750 0.750 0.250
13 B 0.000 0.250 0.875
14 B 0.000 0.750 0.125
15 B 0.500 0.250 0.625
16 B 0.500 0.750 0.375


[7]
Compound: KLiBMo2
Source: Alexandria via LeMat-Bulk
Functional: GGA-PBE
Structure: relaxed

**ΔE_f**: 2086 meV/atom
**Total magnetic moment**: 3.43 μB per cell

a = 4.584 Å, b = 4.584 Å, c = 3.950 Å
α = 90.00°, β = 90.00°, γ = 90.00°
Positions (direct):
1 K 0.000 0.000 0.000
2 Li 0.500 0.500 0.500
3 B 0.500 0.500 0.000
4 Mo 0.000 0.500 0.500
5 Mo 0.500 0.000 0.500


[8]
Compound: KLiB2Mo
Source: Alexandria via LeMat-Bulk
Functional: GGA-PBE
Structure: relaxed

**ΔE_f**: 959 meV/atom
**Total magnetic moment**: 0.00 μB per cell

a = 4.244 Å, b = 4.244 Å, c = 5.199 Å
α = 90.00°, β = 90.00°, γ = 90.00°
Positions (direct):
1 K 0.000 0.000 0.000
2 Li 0.500 0.500 0.000
3 B 0.000 0.500 0.500
4 B 0.500 0.000 0.500
5 Mo 0.500 0.500 0.500


[9]
Compound: K9Li3Nd3B7O21
Source: Alexandria via LeMat-Bulk
Functional: GGA-PBE
Structure: relaxed

**Formation energy (no corrections)**: -2434 meV/atom
**Total magnetic moment**: 0.00 μB per cell

a = 11.546 Å, b = 10.154 Å, c = 12.622 Å
α = 90.00°, β = 121.96°, γ = 90.00°
Positions (direct):
1 K 0.000 0.077 0.250
2 K 0.000 0.923 0.750
3 K 0.087 0.388 0.445
4 K 0.087 0.612 0.945
5 K 0.170 0.073 0.584
6 K 0.170 0.927 0.084
7 K 0.337 0.103 0.937
8 K 0.337 0.897 0.437
9 K 0.391 0.462 0.059
10 K 0.391 0.538 0.559
11 K 0.609 0.462 0.441
12 K 0.609 0.538 0.941
13 K 0.663 0.103 0.563
14 K 0.663 0.897 0.063
15 K 0.830 0.073 0.916
16 K 0.830 0.927 0.416
17 K 0.913 0.388 0.055
18 K 0.913 0.612 0.555
19 Li 0.404 0.296 0.768
20 Li 0.404 0.704 0.268
21 Li 0.500 0.080 0.750
22 Li 0.500 0.920 0.250
23 Li 0.596 0.296 0.732
24 Li 0.596 0.704 0.232
25 Nd 0.000 0.317 0.750
26 Nd 0.000 0.683 0.250
27 Nd 0.290 0.290 0.258
28 Nd 0.290 0.710 0.758
29 Nd 0.710 0.290 0.242
30 Nd 0.710 0.710 0.742
31 B 0.099 0.220 0.995
32 B 0.099 0.780 0.495
33 B 0.235 0.427 0.755
34 B 0.235 0.573 0.255
35 B 0.367 0.231 0.506
36 B 0.367 0.769 0.006
37 B 0.500 0.140 0.250
38 B 0.500 0.860 0.750
39 B 0.633 0.231 0.994
40 B 0.633 0.769 0.494
41 B 0.765 0.427 0.745
42 B 0.765 0.573 0.245
43 B 0.901 0.220 0.505
44 B 0.901 0.780 0.005
45 O 0.074 0.135 0.899
46 O 0.074 0.865 0.399
47 O 0.090 0.180 0.096
48 O 0.090 0.820 0.596
49 O 0.134 0.350 0.989
50 O 0.134 0.650 0.489
51 O 0.145 0.487 0.264
52 O 0.145 0.513 0.764
53 O 0.216 0.291 0.752
54 O 0.216 0.709 0.252
55 O 0.240 0.189 0.405
56 O 0.240 0.811 0.905
57 O 0.343 0.479 0.749
58 O 0.343 0.521 0.249
59 O 0.402 0.074 0.262
60 O 0.402 0.926 0.762
61 O 0.406 0.213 0.628
62 O 0.406 0.787 0.128
63 O 0.453 0.298 0.478
64 O 0.453 0.702 0.978
65 O 0.500 0.278 0.250
66 O 0.500 0.722 0.750
67 O 0.547 0.298 0.022
68 O 0.547 0.702 0.522
69 O 0.594 0.213 0.872
70 O 0.594 0.787 0.372
71 O 0.598 0.074 0.238
72 O 0.598 0.926 0.738
73 O 0.657 0.479 0.751
74 O 0.657 0.521 0.251
75 O 0.760 0.189 0.095
76 O 0.760 0.811 0.595
77 O 0.784 0.291 0.748
78 O 0.784 0.709 0.248
79 O 0.855 0.487 0.236
80 O 0.855 0.513 0.736
81 O 0.866 0.350 0.511
82 O 0.866 0.650 0.011
83 O 0.910 0.180 0.404
84 O 0.910 0.820 0.904
85 O 0.926 0.135 0.601
86 O 0.926 0.865 0.101


[10]
Compound: KLiBO2
Source: Alexandria via LeMat-Bulk
Functional: GGA-PBE
Structure: relaxed

**Formation energy (no corrections)**: -1683 meV/atom
**Total magnetic moment**: 0.00 μB per cell

a = 7.472 Å, b = 5.093 Å, c = 6.222 Å
α = 90.00°, β = 114.21°, γ = 90.00°
Positions (direct):
1 K 0.000 0.242 0.250
2 K 0.000 0.758 0.750
3 Li 0.500 0.500 0.250
4 Li 0.500 0.500 0.750
5 B 0.500 0.000 0.000
6 B 0.500 0.000 0.500
7 O 0.437 0.236 0.469
8 O 0.437 0.764 0.969
9 O 0.563 0.236 0.031
10 O 0.563 0.764 0.531


[11]
Compound: K2Li3BP4O14
Source: Alexandria via LeMat-Bulk
Functional: GGA-PBE
Structure: relaxed

**Formation energy (no corrections)**: -2335 meV/atom
**Total magnetic moment**: 0.00 μB per cell

a = 14.080 Å, b = 14.080 Å, c = 6.997 Å
α = 90.00°, β = 90.00°, γ = 60.76°
Positions (direct):
1 K 0.093 0.407 0.750
2 K 0.108 0.892 0.803
3 K 0.392 0.608 0.303
4 K 0.407 0.093 0.250
5 K 0.593 0.907 0.750
6 K 0.608 0.392 0.697
7 K 0.892 0.108 0.197
8 K 0.907 0.593 0.250
9 Li 0.101 0.630 0.024
10 Li 0.119 0.119 0.000
11 Li 0.130 0.601 0.524
12 Li 0.370 0.899 0.024
13 Li 0.381 0.381 0.500
14 Li 0.399 0.870 0.524
15 Li 0.601 0.130 0.476
16 Li 0.619 0.619 0.500
17 Li 0.630 0.101 0.976
18 Li 0.870 0.399 0.476
19 Li 0.881 0.881 0.000
20 Li 0.899 0.370 0.976
21 B 0.119 0.119 0.500
22 B 0.381 0.381 0.000
23 B 0.619 0.619 0.000
24 B 0.881 0.881 0.500
25 P 0.075 0.800 0.301
26 P 0.095 0.285 0.258
27 P 0.200 0.925 0.301
28 P 0.215 0.405 0.242
29 P 0.285 0.095 0.742
30 P 0.300 0.575 0.801
31 P 0.405 0.215 0.758
32 P 0.425 0.700 0.801
33 P 0.575 0.300 0.199
34 P 0.595 0.785 0.242
35 P 0.700 0.425 0.199
36 P 0.715 0.905 0.258
37 P 0.785 0.595 0.758
38 P 0.800 0.075 0.699
39 P 0.905 0.715 0.742
40 P 0.925 0.200 0.699
41 O 0.001 0.834 0.485
42 O 0.016 0.865 0.127
43 O 0.018 0.369 0.399
44 O 0.055 0.289 0.055
45 O 0.131 0.482 0.101
46 O 0.135 0.984 0.127
47 O 0.136 0.677 0.282
48 O 0.143 0.163 0.327
49 O 0.163 0.143 0.673
50 O 0.166 0.999 0.485
51 O 0.169 0.831 0.367
52 O 0.177 0.636 0.782
53 O 0.207 0.293 0.250
54 O 0.211 0.445 0.445
55 O 0.289 0.055 0.945
56 O 0.293 0.207 0.750
57 O 0.323 0.864 0.282
58 O 0.331 0.669 0.867
59 O 0.334 0.501 0.985
60 O 0.337 0.357 0.173
61 O 0.357 0.337 0.827
62 O 0.364 0.823 0.782
63 O 0.365 0.516 0.627
64 O 0.369 0.018 0.601
65 O 0.445 0.211 0.555
66 O 0.482 0.131 0.899
67 O 0.484 0.635 0.627
68 O 0.499 0.666 0.985
69 O 0.501 0.334 0.015
70 O 0.516 0.365 0.373
71 O 0.518 0.869 0.101
72 O 0.555 0.789 0.445
73 O 0.631 0.982 0.399
74 O 0.635 0.484 0.373
75 O 0.636 0.177 0.218
76 O 0.643 0.663 0.173
77 O 0.663 0.643 0.827
78 O 0.666 0.499 0.015
79 O 0.669 0.331 0.133
80 O 0.677 0.136 0.718
81 O 0.707 0.793 0.250
82 O 0.711 0.945 0.055
83 O 0.789 0.555 0.555
84 O 0.793 0.707 0.750
85 O 0.823 0.364 0.218
86 O 0.831 0.169 0.633
87 O 0.834 0.001 0.515
88 O 0.837 0.857 0.327
89 O 0.857 0.837 0.673
90 O 0.864 0.323 0.718
91 O 0.865 0.016 0.873
92 O 0.869 0.518 0.899
93 O 0.945 0.711 0.945
94 O 0.982 0.631 0.601
95 O 0.984 0.135 0.873
96 O 0.999 0.166 0.515


[12]
Compound: K2LiBP
Source: Alexandria via LeMat-Bulk
Functional: GGA-PBE
Structure: relaxed

**ΔE_f**: 955 meV/atom
**Total magnetic moment**: 0.60 μB per cell

a = 5.709 Å, b = 5.709 Å, c = 4.209 Å
α = 90.00°, β = 90.00°, γ = 90.00°
Positions (direct):
1 K 0.000 0.500 0.000
2 K 0.500 0.000 0.000
3 Li 0.000 0.000 0.000
4 B 0.000 0.000 0.500
5 P 0.500 0.500 0.500


Question: Which of these has the highest total magnetic moment?
Answer: KLi2B


Question: The highest total magnetic moment belongs to which entry?
Answer: KLi2B